w) VASP calculation (PBE-GGA) on Ho3Er8Tm4 after structural relaxation.

Unit cell a=9.148 b=9.148 c=6.620 alpha=111.13 beta=111.13 gamma=88.12
Fractional coordinates of all 15 atoms:
Ho (0.000, 0.000, 0.000)
Ho (0.000, 0.500, 0.000)
Ho (0.500, 0.000, 0.000)
Er (0.140, 0.860, 0.500)
Er (0.233, 0.233, 0.966)
Er (0.236, 0.236, 0.490)
Er (0.249, 0.751, 0.000)
Er (0.751, 0.249, 0.000)
Er (0.764, 0.764, 0.510)
Er (0.767, 0.767, 0.034)
Er (0.860, 0.140, 0.500)
Tm (0.000, 0.500, 0.500)
Tm (0.500, 0.000, 0.500)
Tm (0.500, 0.500, 0.000)
Tm (0.500, 0.500, 0.500)

Total moment: 0.00 μB per formula unit

x) VASP calculation (PBE-GGA) on Ho3Er8Tm4 after structural relaxation.

Unit cell a=12.225 b=12.225 c=12.225 alpha=32.41 beta=32.41 gamma=32.41
Fractional coordinates of all 15 atoms:
Ho (0.000, 0.500, 0.500)
Ho (0.500, 0.000, 0.500)
Ho (0.500, 0.500, 0.000)
Er (0.251, 0.251, 0.748)
Er (0.251, 0.748, 0.251)
Er (0.252, 0.749, 0.749)
Er (0.255, 0.255, 0.255)
Er (0.745, 0.745, 0.745)
Er (0.748, 0.251, 0.251)
Er (0.749, 0.252, 0.749)
Er (0.749, 0.749, 0.252)
Tm (0.000, 0.000, 0.000)
Tm (0.164, 0.164, 0.164)
Tm (0.500, 0.500, 0.500)
Tm (0.836, 0.836, 0.836)

Total moment: 0.00 μB per formula unit

Which structure is the most stable? The one labeled x).

w) VASP calculation (PBE-GGA) on Ho4ErTm after structural relaxation.

Unit cell a=8.075 b=8.075 c=3.383 alpha=90.00 beta=90.00 gamma=90.02
Fractional coordinates of all 6 atoms:
Ho (0.239, 0.761, 0.000)
Ho (0.262, 0.262, 0.500)
Ho (0.738, 0.738, 0.500)
Ho (0.761, 0.239, 0.000)
Er (0.000, 0.000, 0.500)
Tm (0.500, 0.500, 0.000)

Total moment: 0.00 μB per formula unit

x) VASP calculation (PBE-GGA) on Ho4ErTm after structural relaxation.

Unit cell a=6.484 b=6.484 c=6.484 alpha=60.00 beta=60.00 gamma=60.00
Fractional coordinates of all 6 atoms:
Ho (0.125, 0.125, 0.125)
Ho (0.125, 0.125, 0.625)
Ho (0.125, 0.625, 0.125)
Ho (0.625, 0.125, 0.125)
Er (0.750, 0.750, 0.750)
Tm (0.500, 0.500, 0.500)

Total moment: 0.01 μB per formula unit

y) VASP calculation (PBE-GGA) on Ho4ErTm after structural relaxation.

Unit cell a=3.509 b=6.065 c=9.265 alpha=77.46 beta=79.15 gamma=73.28
Fractional coordinates of all 6 atoms:
Ho (0.166, 0.000, 0.166)
Ho (0.166, 0.500, 0.667)
Ho (0.834, 0.000, 0.834)
Ho (0.834, 0.500, 0.333)
Er (0.500, 0.000, 0.500)
Tm (0.500, 0.500, 0.000)

Total moment: 0.00 μB per formula unit

Which structure is the most stable? The one labeled y).

w) VASP calculation (PBE-GGA) on HoErTm5 after structural relaxation.

Unit cell a=7.649 b=7.649 c=7.649 alpha=117.45 beta=81.48 gamma=133.42
Fractional coordinates of all 7 atoms:
Ho (0.000, 0.000, 0.000)
Er (0.239, 0.739, 0.500)
Tm (0.259, 0.002, 0.257)
Tm (0.500, 0.321, 0.821)
Tm (0.500, 0.680, 0.179)
Tm (0.744, 0.002, 0.743)
Tm (0.760, 0.260, 0.500)

Total moment: 0.00 μB per formula unit

x) VASP calculation (PBE-GGA) on HoErTm5 after structural relaxation.

Unit cell a=6.630 b=6.630 c=12.007 alpha=107.33 beta=107.33 gamma=60.16
Fractional coordinates of all 14 atoms:
Ho (0.028, 0.972, 0.750)
Ho (0.972, 0.028, 0.250)
Er (0.000, 0.500, 0.000)
Er (0.500, 0.000, 0.500)
Tm (0.140, 0.420, 0.753)
Tm (0.192, 0.651, 0.499)
Tm (0.349, 0.808, 0.001)
Tm (0.416, 0.584, 0.250)
Tm (0.420, 0.140, 0.253)
Tm (0.580, 0.860, 0.747)
Tm (0.584, 0.416, 0.750)
Tm (0.651, 0.192, 0.999)
Tm (0.808, 0.349, 0.501)
Tm (0.860, 0.580, 0.247)

Total moment: 0.00 μB per formula unit

Which structure is the most stable? The one labeled x).